Entry 1:
This record from Alexandria via LeMat-Bulk describes a geometry-optimized CsZn4Sb3O12 structure. The functional is PBE.

## Properties
* final energy: -105.3 eV per formula unit
* formation energy without anion corrections: -27.45 eV per formula unit

Unit cell a=7.0916 b=7.0916 c=7.0916 alpha=109.10 beta=109.10 gamma=109.10
With the nearest neighbours (Å) after each atom.
Element x y z (fractional)
O1 0.2390 0.3419 0.9120  1 Sb 1.94, 1 Zn 1.95
O2 0.7610 0.0880 0.6581  1 Sb 1.94, 1 Zn 1.95
O3 0.5000 0.3342 0.6658  1 Zn 1.92, 2 Sb 2.08
Sb1 0.0000 0.5585 0.4415  6 O 1.94-2.08
Cs1 0.0000 0.0000 0.0000  6 O 2.85
O4 0.0880 0.6581 0.7610  1 Sb 1.94, 1 Zn 1.95
O5 0.3419 0.9120 0.2390  1 Sb 1.94, 1 Zn 1.95
O6 0.1087 0.8913 0.5000  1 Zn 1.97, 2 Sb 2.07
O7 0.6581 0.7610 0.0880  1 Sb 1.94, 1 Zn 1.95
O8 0.8913 0.5000 0.1087  1 Zn 1.97, 2 Sb 2.07
Zn1 0.9379 0.0621 0.5000  3 O 1.95-1.97
O9 0.5000 0.1087 0.8913  1 Zn 1.97, 2 Sb 2.07
O10 0.6658 0.5000 0.3342  1 Zn 1.92, 2 Sb 2.08
Zn2 0.0621 0.5000 0.9379  3 O 1.95-1.97
Zn3 0.5000 0.9379 0.0621  3 O 1.95-1.97
O11 0.9120 0.2390 0.3419  1 Sb 1.94, 1 Zn 1.95
Zn4 0.5000 0.5000 0.5000  3 O 1.92
O12 0.3342 0.6658 0.5000  1 Zn 1.92, 2 Sb 2.08
Sb2 0.5585 0.4415 0.0000  6 O 1.94-2.08
Sb3 0.4415 0.0000 0.5585  6 O 1.94-2.08

Entry 2:
This record from Alexandria via LeMat-Bulk describes a geometry-optimized Cs2ZrSb3O12 structure. The functional is PBE.

## Properties
* final energy: -110.5 eV per formula unit
* formation energy without anion corrections: -28.34 eV per formula unit

Unit cell a=7.6154 b=7.6154 c=7.6154 alpha=58.79 beta=58.79 gamma=58.79
With the nearest neighbours (Å) after each atom.
Element x y z (fractional)
O1 0.0685 0.6697 0.0685  1 Sb 1.97, 1 Zr 2.11
Sb1 0.0000 0.0000 0.5000  6 O 1.97-2.01
Sb2 0.0000 0.5000 0.0000  6 O 1.97-2.01
Cs1 0.3759 0.3759 0.3759  6 O 3.24-3.29
O2 0.0685 0.0685 0.6697  1 Sb 1.97, 1 Zr 2.11
O3 0.6797 0.6797 0.0762  2 Sb 2.01
O4 0.9315 0.3303 0.9315  1 Sb 1.97, 1 Zr 2.11
O5 0.3303 0.9315 0.9315  1 Sb 1.97, 1 Zr 2.11
O6 0.3203 0.3203 0.9238  2 Sb 2.01
O7 0.6797 0.0762 0.6797  2 Sb 2.01
Zr1 0.0000 0.0000 0.0000  6 O 2.11
O8 0.9238 0.3203 0.3203  2 Sb 2.01
Sb3 0.5000 0.0000 0.0000  6 O 1.97-2.01
O9 0.0762 0.6797 0.6797  2 Sb 2.01
Cs2 0.6241 0.6241 0.6241  6 O 3.24-3.29
O10 0.6697 0.0685 0.0685  1 Sb 1.97, 1 Zr 2.11
O11 0.3203 0.9238 0.3203  2 Sb 2.01
O12 0.9315 0.9315 0.3303  1 Sb 1.97, 1 Zr 2.11

Entry 3:
This record from Alexandria via LeMat-Bulk describes a geometry-optimized CsScO2 structure. The functional is PBE.

## Properties
* final energy: -25.2 eV per formula unit
* formation energy without anion corrections: -8.09 eV per formula unit

Unit cell a=5.4171 b=5.4171 c=6.4174 alpha=65.04 beta=65.04 gamma=90.00
With the nearest neighbours (Å) after each atom.
Element x y z (fractional)
Sc1 0.0000 0.0000 0.0000  2 O 1.97
Cs1 0.2500 0.7500 0.5000  4 O 2.78
O1 0.8087 0.8087 0.3826  1 Sc 1.97
O2 0.5587 0.0587 0.8826  1 Sc 1.97
O3 0.1913 0.1913 0.6174  1 Sc 1.97
Cs2 0.5000 0.5000 0.0000  4 O 2.78
Sc2 0.7500 0.2500 0.5000  2 O 1.97
O4 0.9413 0.4413 0.1174  1 Sc 1.97

Entry 4:
This record from Alexandria via LeMat-Bulk describes a geometry-optimized CsScO2 structure. The functional is PBE.

## Properties
* final energy: -21.5 eV per formula unit
* formation energy without anion corrections: -4.41 eV per formula unit

Unit cell a=4.4323 b=4.4323 c=4.4323 alpha=60.00 beta=60.00 gamma=60.00
With the nearest neighbours (Å) after each atom.
Element x y z (fractional)
Cs1 0.5000 0.5000 0.5000  8 O 2.71
O1 0.2500 0.2500 0.2500  4 Cs 2.71, 4 Sc 2.71
Sc1 0.0000 0.0000 0.0000  8 O 2.71
O2 0.7500 0.7500 0.7500  4 Cs 2.71, 4 Sc 2.71

Entry 5:
This record from Alexandria via LeMat-Bulk describes a geometry-optimized Cs3ScO structure. The functional is PBE.

## Properties
* final energy: -13.6 eV per formula unit
* formation energy without anion corrections: 0.29 eV per formula unit

Unit cell a=6.1469 b=6.1469 c=6.1469 alpha=90.00 beta=90.00 gamma=90.00
With the nearest neighbours (Å) after each atom.
Element x y z (fractional)
Sc1 0.5000 0.5000 0.5000  12 Cs 4.35
Cs1 0.0000 0.5000 0.0000  2 O 3.07
O1 0.0000 0.0000 0.0000  6 Cs 3.07
Cs2 0.5000 0.0000 0.0000  2 O 3.07
Cs3 0.0000 0.0000 0.5000  2 O 3.07

Entry 6:
This record from Alexandria via LeMat-Bulk describes a geometry-optimized CsScO2 structure. The functional is PBE.

## Properties
* final energy: -27.7 eV per formula unit
* formation energy without anion corrections: -10.64 eV per formula unit

Unit cell a=6.0176 b=7.0714 c=6.0177 alpha=76.97 beta=65.16 gamma=105.56
With the nearest neighbours (Å) after each atom.
Element x y z (fractional)
Cs1 0.7073 0.5173 0.7884  4 O 2.96-3.25
O1 0.8496 0.8260 0.2138  2 Sc 1.98
O2 0.2588 0.6054 0.2395  2 Sc 2.01-2.02
O3 0.4856 0.0463 0.0255  2 Sc 2.01-2.02
Sc1 0.2064 0.8248 0.0110  4 O 1.98-2.02
Cs2 0.0253 0.1343 0.4886  4 O 2.96-3.25
Sc2 0.4947 0.8268 0.2973  4 O 1.98-2.02
O4 0.2907 0.8256 0.6552  2 Sc 1.98

Results for M_tot: 0.000 0.172 0.000 0.000 0.399 0.000 (in μB per atom, following the order of the records).